Below is a relaxed structure of Ac2Al3Ag4Pb, with properties calculated at the PBE-GGA level.

symmetry = No. 115
total moment = 0.00 μB per formula unit

Cell lengths 4.6451, 4.6451, 11.1675 Å; angles 90.00, 90.00, 90.00 degrees
Fractional coordinates of all 10 atoms:
Ac (0.5000, 0.0000, 0.2384)
Ac (0.0000, 0.5000, 0.7616)
Al (0.0000, 0.0000, 0.5000)
Al (0.5000, 0.0000, 0.8822)
Al (0.0000, 0.5000, 0.1178)
Ag (0.5000, 0.5000, 0.0000)
Ag (0.0000, 0.0000, 0.0000)
Ag (0.5000, 0.0000, 0.6507)
Ag (0.0000, 0.5000, 0.3493)
Pb (0.5000, 0.5000, 0.5000)

=====

Below is a relaxed structure of Ac3AlAg2Pd6, with properties calculated at the PBE-GGA level.

symmetry = No. 164
total moment = 0.00 μB per formula unit

Cell lengths 5.9249, 5.9249, 8.9102 Å; angles 90.00, 90.00, 120.00 degrees
Fractional coordinates of all 12 atoms:
Ac (0.3333, 0.6667, 0.6320)
Ac (0.6667, 0.3333, 0.3680)
Ac (0.0000, 0.0000, 0.0000)
Al (0.0000, 0.0000, 0.5000)
Ag (0.6667, 0.3333, 0.9715)
Ag (0.3333, 0.6667, 0.0285)
Pd (0.6549, 0.8274, 0.2925)
Pd (0.1726, 0.3451, 0.2925)
Pd (0.1726, 0.8274, 0.2925)
Pd (0.8274, 0.6549, 0.7075)
Pd (0.3451, 0.1726, 0.7075)
Pd (0.8274, 0.1726, 0.7075)

=====

Below is a relaxed structure of Ac2Al6AgPd, with properties calculated at the PBE-GGA level.

symmetry = No. 12
total moment = 0.00 μB per formula unit

Cell lengths 5.5142, 9.0524, 7.0881 Å; angles 49.43, 67.11, 90.01 degrees
Fractional coordinates of all 10 atoms:
Ac (0.7480, 0.2889, 0.5042)
Ac (0.2521, 0.7111, 0.4958)
Al (0.2517, 0.0908, 0.4966)
Al (0.7643, 0.7558, 0.9725)
Al (0.2632, 0.7558, 0.9724)
Al (0.7368, 0.2442, 0.0276)
Al (0.2357, 0.2442, 0.0275)
Al (0.7483, 0.9092, 0.5034)
Ag (0.0000, 0.0000, 0.0000)
Pd (0.5000, 0.5000, 0.0000)

=====

Below is a relaxed structure of Ac2AlAgPd6, with properties calculated at the PBE-GGA level.

symmetry = No. 2
total moment = 0.00 μB per formula unit

Cell lengths 7.0048, 6.6762, 7.0042 Å; angles 79.54, 46.87, 98.74 degrees
Fractional coordinates of all 10 atoms:
Ac (0.2584, 0.7257, 0.5338)
Ac (0.7416, 0.2743, 0.4662)
Al (0.5000, 0.5000, 0.0000)
Ag (0.0000, 0.0000, 0.0000)
Pd (0.2426, 0.7272, 0.0180)
Pd (0.7471, 0.9112, 0.8373)
Pd (0.2538, 0.2731, 0.4850)
Pd (0.7574, 0.2728, 0.9820)
Pd (0.2529, 0.0888, 0.1627)
Pd (0.7462, 0.7269, 0.5150)

=====

Ordered DFT formation energy results: -28.3; -65.2; -37.2; -64.4; unit kJ per mole of atoms.